Here is an optimized crystal structure of Ni2MoPd from Alexandria. Energies are from PBE.

Summary:
The total magnetization comes out at 0.00 μB/f.u. As for the total energy: -27.7 eV per formula unit. As for the symmetry: Pmmm, No. 47. The value obtained for the density of states at the Fermi level is 1.083 states/eV/atom. Its formation energy is -0.07 eV/f.u.

Geometry as POSCAR:
```
Ni2MoPd
1.0
2.6922 0.0000 0.0000
0.0000 3.6656 0.0000
0.0000 0.0000 5.3564
Ni Mo Pd
2 1 1
Direct
0.0000 0.0000 0.2398 Ni
0.0000 0.0000 0.7602 Ni
0.5000 0.5000 0.0000 Mo
0.5000 0.5000 0.5000 Pd
```


Here is an optimized crystal structure of Ho2Si3Rh from Alexandria. Energies are from PBE.

Summary:
The total magnetization comes out at 0.00 μB/f.u. As for the total energy: -38.4 eV per formula unit. As for the symmetry: P6_3/mmc, No. 194. The value obtained for the density of states at the Fermi level is 0.300 states/eV/atom. As for the formation energy from raw total energies: -0.933 eV/atom.

Geometry as POSCAR:
```
Ho2Si3Rh
1.0
8.1578 0.0000 0.0000
-4.0789 7.0649 0.0000
0.0000 0.0000 7.8433
Ho Si Rh
8 12 4
Direct
0.0000 0.0000 0.2500 Ho
0.0000 0.0000 0.7500 Ho
0.0172 0.5086 0.2500 Ho
0.4914 0.5086 0.2500 Ho
0.4914 0.9828 0.2500 Ho
0.5086 0.0172 0.7500 Ho
0.5086 0.4914 0.7500 Ho
0.9828 0.4914 0.7500 Ho
0.1667 0.3334 0.5010 Si
0.1667 0.3334 0.9990 Si
0.1667 0.8333 0.5010 Si
0.1667 0.8333 0.9990 Si
0.3334 0.1667 0.0010 Si
0.3334 0.1667 0.4990 Si
0.6666 0.8333 0.5010 Si
0.6666 0.8333 0.9990 Si
0.8333 0.1667 0.0010 Si
0.8333 0.1667 0.4990 Si
0.8333 0.6666 0.0010 Si
0.8333 0.6666 0.4990 Si
0.3333 0.6667 0.5313 Rh
0.3333 0.6667 0.9687 Rh
0.6667 0.3333 0.0313 Rh
0.6667 0.3333 0.4687 Rh
```


Here is an optimized crystal structure of PmSm2NpAs4 from Alexandria. Energies are from PBE.

Summary:
The total magnetization comes out at 3.75 μB/f.u. As for the total energy: -56.2 eV per formula unit. As for the symmetry: P2/m, No. 10. The value obtained for the density of states at the Fermi level is 1.495 states/eV/atom. Its formation energy is -10.45 eV/f.u.

Geometry as POSCAR:
```
PmSm2NpAs4
1.0
7.2593 0.0000 0.0000
0.0000 4.1861 0.0000
-2.4018 0.0000 6.8522
Pm Sm Np As
1 2 1 4
Direct
0.0000 0.0000 0.0000 Pm
0.5000 0.0000 0.5000 Sm
0.5000 0.5000 0.0000 Sm
0.0000 0.5000 0.5000 Np
0.2443 0.0000 0.7433 As
0.2467 0.5000 0.2552 As
0.7533 0.5000 0.7448 As
0.7557 0.0000 0.2567 As
```


Here is an optimized crystal structure of Dy2AlZn3 from Alexandria. Energies are from PBE.

Summary:
The total magnetization comes out at 0.00 μB/f.u. As for the total energy: -19.2 eV per formula unit. As for the symmetry: Fmmm, No. 69. The value obtained for the density of states at the Fermi level is 0.725 states/eV/atom. Its formation energy is -2.48 eV/f.u.

Geometry as POSCAR:
```
Dy2AlZn3
1.0
0.0000 4.4775 7.7414
3.5628 0.0000 7.7414
3.5628 4.4775 0.0000
Dy Al Zn
4 2 6
Direct
0.2434 0.7566 0.7566 Dy
0.2500 0.2500 0.2500 Dy
0.7500 0.7500 0.7500 Dy
0.7566 0.2434 0.2434 Dy
0.3344 0.3344 0.6656 Al
0.6656 0.6656 0.3344 Al
0.1665 0.1665 0.8335 Zn
0.1680 0.6662 0.3338 Zn
0.3338 0.8320 0.1680 Zn
0.6662 0.1680 0.8320 Zn
0.8320 0.3338 0.6662 Zn
0.8335 0.8335 0.1665 Zn
```